Computed, not measured: a relaxed structure of BaTlIN2 at the PBE level of DFT.

Geometry as POSCAR:
```
BaTlIN2
1.0
5.2666 0.0000 0.0000
0.0000 5.2666 0.0000
0.0000 0.0000 7.0540
Ba Tl I N
1 1 1 2
Cartesian
0.0000 0.0000 0.0000 Ba
2.6333 2.6333 3.5270 Tl
0.0000 0.0000 3.5270 I
0.0000 2.6333 0.0000 N
2.6333 0.0000 0.0000 N
```

crystal system = tetragonal
total energy = -3.626 eV per atom
energy above the lowest structure with this stoichiometry = 18.2 meV/atom

Computed, not measured: a relaxed structure of BaTlIN2 at the PBE level of DFT.

Geometry as POSCAR:
```
BaTlIN2
1.0
4.7340 0.0000 0.0000
0.0000 4.7340 0.0000
0.0000 0.0000 6.0812
Ba Tl I N
1 1 1 2
Cartesian
0.0000 0.0000 0.0000 Ba
2.3670 2.3670 3.0406 Tl
2.3670 2.3670 0.0000 I
0.0000 2.3670 3.0406 N
2.3670 0.0000 3.0406 N
```

crystal system = tetragonal
total energy = -3.644 eV per atom
energy above the lowest structure with this stoichiometry = 0.0 meV/atom

Computed, not measured: a relaxed structure of BaTlIN2 at the PBE level of DFT.

Geometry as POSCAR:
```
BaTlIN2
1.0
4.7360 0.0000 0.0000
0.0000 4.7360 0.0000
0.0000 0.0000 6.2738
Ba Tl I N
1 1 1 2
Cartesian
0.0000 0.0000 0.0000 Ba
2.3680 2.3680 0.0000 Tl
0.0000 0.0000 3.1369 I
0.0000 2.3680 3.1369 N
2.3680 0.0000 3.1369 N
```

crystal system = tetragonal
total energy = -3.001 eV per atom
energy above the lowest structure with this stoichiometry = 642.7 meV/atom